Entry 1:
The following is a PBE-GGA calculation of an optimized crystal structure of MoPSe, from Alexandria.

Output
Energy above the most stable polymorph in this dataset, eV/atom: 0.492
Energy relative to the elements, uncorrected, meV per atom: 214

Unit cell a=3.3152 b=4.9116 c=13.8903 alpha=90.00 beta=90.00 gamma=90.00
With the nearest neighbours (Å) after each atom.
Space group Fmm2 (No. 42)
Asymmetric unit:
Mo 0.0000 0.0000 0.0000  2 P 2.40, 2 Se 2.61
P 0.0000 0.0000 0.3750  2 Mo 2.40
Se 0.0000 0.0000 0.6455  2 Mo 2.61

***

Entry 2:
The following is a PBE-GGA calculation of an optimized crystal structure of Ba2CaTe2O6, from Alexandria.

Output
Energy relative to the elements, uncorrected, meV per atom: -1889

Unit cell a=11.6239 b=6.2873 c=7.2453 alpha=90.00 beta=125.36 gamma=90.00
With the nearest neighbours (Å) after each atom.
Space group C2/m (No. 12)
Asymmetric unit:
Ba 0.2274 0.0000 0.1213  5 O 2.67-2.91
Ca 0.0000 0.0000 0.5000  6 O 2.37-2.40
Te 0.0844 0.5000 0.2533  3 O 2.00-2.06
O 0.0322 0.2498 0.7774  1 Te 2.00
O 0.2478 0.0000 0.7727  1 Te 2.06

***

Entry 3:
The following is a PBE-GGA calculation of an optimized crystal structure of YCuTc2, from Alexandria.

Output
Energy of formation from the pure elements, eV per atom: 0.03
Energy above the most stable polymorph in this dataset, eV/atom: 0.010

Unit cell a=3.1522 b=3.1522 c=6.9323 alpha=90.00 beta=90.00 gamma=90.00
With the nearest neighbours (Å) after each atom.
Space group P4mm (No. 99)
Asymmetric unit:
Y 0.0000 0.0000 0.0000  4 Cu 3.01, 4 Tc 3.06, 4 Y 3.15
Cu 0.5000 0.5000 0.2921  5 Tc 2.67-2.81
Tc 0.0000 0.0000 0.5043  4 Tc 2.60, 4 Cu 2.67
Tc 0.5000 0.5000 0.6977  4 Tc 2.60, 1 Cu 2.81

***

Entry 4:
The following is a PBE-GGA calculation of an optimized crystal structure of Re3Se, from Alexandria.

Output
Energy above the most stable polymorph in this dataset, eV/atom: 0.481
Energy relative to the elements, uncorrected, meV per atom: 788

Unit cell a=8.5638 b=8.5638 c=2.9346 alpha=90.00 beta=90.00 gamma=120.00
With the nearest neighbours (Å) after each atom.
Space group R-3m (No. 166, hexagonal axes)
Asymmetric unit:
Re 0.0000 0.5000 0.0000  2 Se 2.66, 6 Re 2.66-2.93
Se 0.0000 0.0000 0.0000  6 Re 2.66, 2 Se 2.93

***

Entry 5:
The following is a PBE-GGA calculation of an optimized crystal structure of K3Ce3CuSe8, from Alexandria.

Output
Energy relative to the elements, uncorrected, meV per atom: -1342

Unit cell a=8.3237 b=8.3347 c=8.9822 alpha=64.03 beta=64.03 gamma=62.43
With the nearest neighbours (Å) after each atom.
Space group P-1 (No. 2)
Asymmetric unit:
K 0.0000 0.0000 0.0000  6 Se 3.28-3.40
K 0.0000 0.5000 0.0000  6 Se 3.31-3.42
K 0.5000 0.0000 0.0000  6 Se 3.31-3.43
Ce 0.0000 0.5000 0.5000  6 Se 2.82-2.94
Ce 0.5000 0.0000 0.5000  6 Se 2.82-2.94
Ce 0.5000 0.5000 0.5000  6 Se 2.85-2.91
Cu 0.0000 0.0000 0.5000  2 Se 2.45
Se 0.1998 0.2001 0.3287  1 Cu 2.45
Se 0.2485 0.7107 0.2910  2 Ce 2.82-2.85, 1 Cu 3.09
Se 0.2625 0.2623 0.7105  3 Ce 2.91-2.93
Se 0.2867 0.7535 0.7072  2 Ce 2.82-2.86, 1 Cu 3.06

***

Entry 6:
The following is a PBE-GGA calculation of an optimized crystal structure of ThPH, from Alexandria.

Output
Energy above the most stable polymorph in this dataset, eV/atom: 0.369

Unit cell a=6.3844 b=6.3844 c=6.3844 alpha=90.00 beta=90.00 gamma=90.00
With the nearest neighbours (Å) after each atom.
Space group F-43m (No. 216)
Asymmetric unit:
Th 0.0000 0.0000 0.0000  4 H 2.76, 4 P 2.76
P 0.2500 0.2500 0.7500  4 Th 2.76
H 0.2500 0.2500 0.2500  4 Th 2.76

***

In the order shown, the computed total magnetization values come out to 0.0, 0.0, 0.0, 0.0, 0.7, 0.0 μB per formula unit.
In the order shown, the computed D(E_F) values come out to 3.1, 0.0, 2.3, 3.5, 11.7, 0.0 states/eV/f.u..